# CdTc

A relaxed structure of CdTc (PBE, Alexandria via LeMat-Bulk).

Geometry as POSCAR:
```
CdTc
1.0
-3.891 -1.677 -3.471
-3.047 -4.243 1.646
1.579 5.148 1.000
Tc Cd
2 2
Direct
0.725 0.225 0.500
0.525 0.525 0.000
0.260 0.760 0.500
0.990 0.990 0.000
```

Summary:
* ΔE_f: 0.441 eV per atom
* excess energy over the best structure of this formula in the dataset: 7.58 kcal/mol of atoms

# B2S2Cl

A relaxed structure of B2S2Cl (PBE, Alexandria via LeMat-Bulk).

Geometry as POSCAR:
```
B2S2Cl
1.0
7.674 0.000 0.000
0.000 7.674 0.000
0.000 0.000 3.129
S Cl B
4 2 4
Direct
0.639 0.861 0.500
0.361 0.139 0.500
0.861 0.361 0.500
0.139 0.639 0.500
0.500 0.500 0.000
0.000 0.000 0.000
0.218 0.718 0.000
0.782 0.282 0.000
0.718 0.782 0.000
0.282 0.218 0.000
```

Summary:
* uncorrected formation energy: 533.1 meV per atom
* excess energy over the best structure of this formula in the dataset: 0.00 kcal/mol of atoms

# SrSbPtI2

A relaxed structure of SrSbPtI2 (PBE, Alexandria via LeMat-Bulk).

Geometry as POSCAR:
```
SrSbPtI2
1.0
5.612 0.000 0.000
0.000 5.612 0.000
0.000 0.000 5.349
I Sb Sr Pt
2 1 1 1
Direct
0.000 0.500 0.000
0.500 0.000 0.000
0.000 0.000 0.500
0.500 0.500 0.500
0.000 0.000 0.000
```

Summary:
* uncorrected formation energy: -395.5 meV per atom
* excess energy over the best structure of this formula in the dataset: 0.00 kcal/mol of atoms

# CsHgBi

A relaxed structure of CsHgBi (PBE, Alexandria via LeMat-Bulk).

Geometry as POSCAR:
```
CsHgBi
1.0
8.557 -0.139 0.159
1.292 7.198 -0.271
-1.482 2.132 4.223
Bi Hg Cs
2 2 2
Direct
0.297 0.206 0.374
0.161 0.473 0.673
0.587 0.213 0.015
0.871 0.465 0.032
0.954 0.995 0.808
0.503 0.684 0.237
```

Summary:
* ΔE_f: -0.297 eV per atom

# Nd2GaGe3

A relaxed structure of Nd2GaGe3 (PBE, Alexandria via LeMat-Bulk).

Geometry as POSCAR:
```
Nd2GaGe3
1.0
-1.371 -1.338 3.651
1.846 -3.763 -0.686
6.562 2.597 3.415
Ge Nd Ga
3 2 1
Direct
0.500 0.000 0.835
0.500 0.000 0.171
0.500 0.500 0.657
0.000 0.500 0.997
0.000 0.000 0.505
0.500 0.500 0.336
```

Summary:
* ΔE_f: -0.628 eV per atom
* excess energy over the best structure of this formula in the dataset: 0.00 kcal/mol of atoms

# MnCuSiP

A relaxed structure of MnCuSiP (PBE, Alexandria via LeMat-Bulk).

Geometry as POSCAR:
```
MnCuSiP
1.0
-2.116 4.246 -1.469
-0.398 -1.151 -2.752
-4.212 -6.382 3.277
Cu Si P Mn
2 2 2 2
Direct
0.377 0.500 0.395
0.377 0.000 0.895
0.453 0.000 0.193
0.453 0.500 0.693
0.880 0.000 0.608
0.880 0.500 0.108
0.886 0.500 0.404
0.886 0.000 0.904
```

Summary:
* uncorrected formation energy: -55.6 meV per atom
* excess energy over the best structure of this formula in the dataset: 2.54 kcal/mol of atoms

# SrTmPt

A relaxed structure of SrTmPt (PBE, Alexandria via LeMat-Bulk).

Geometry as POSCAR:
```
SrTmPt
1.0
6.639 0.000 0.000
0.000 4.214 0.000
0.000 -2.107 3.649
Pt Sr Tm
1 1 1
Direct
0.032 0.000 0.000
0.749 0.667 0.333
0.220 0.333 0.667
```

Summary:
* ΔE_f: -0.702 eV per atom
* excess energy over the best structure of this formula in the dataset: 3.61 kcal/mol of atoms

# Sm2PuUAs4

A relaxed structure of Sm2PuUAs4 (PBE, Alexandria via LeMat-Bulk).

Geometry as POSCAR:
```
Sm2PuUAs4
1.0
4.144 0.000 0.000
0.000 7.218 0.136
0.000 -2.511 6.748
Sm As Pu U
2 4 1 1
Direct
0.500 0.000 0.500
0.000 0.500 0.500
0.500 0.251 0.240
0.000 0.257 0.759
0.000 0.743 0.241
0.500 0.749 0.760
0.000 0.000 0.000
0.500 0.500 0.000
```

Summary:
* ΔE_f: -1.189 eV per atom